(1)
# PBE Y2PPd2, relaxed
data_Y2PPd2
_cell_length_a 7.187
_cell_length_b 7.187
_cell_length_c 3.977
_cell_angle_alpha 90.00
_cell_angle_beta 90.00
_cell_angle_gamma 90.00
_space_group_name_H-M_alt 'P 4/m b m'
_space_group_IT_number 127
_space_group_name_Hall '-P 4 2ab'
loop_
_atom_site_label
_atom_site_fract_x
_atom_site_fract_y
_atom_site_fract_z
Y1 0.177 0.323 0.000
P1 0.000 0.000 0.500
Pd1 0.132 0.632 0.500
# DFT total energy   -6.574 eV/atom
# Calculated volume   205.4 Å³/cell
# Formation energy   -0.829 eV/atom

(2)
# PBE YPPd3, relaxed
data_YPPd3
_cell_length_a 4.575
_cell_length_b 4.575
_cell_length_c 4.575
_cell_angle_alpha 90.00
_cell_angle_beta 90.00
_cell_angle_gamma 90.00
_space_group_name_H-M_alt 'P m -3 m'
_space_group_IT_number 221
_space_group_name_Hall '-P 4 2 3'
loop_
_atom_site_label
_atom_site_fract_x
_atom_site_fract_y
_atom_site_fract_z
Y1 0.000 0.000 0.000
P1 0.500 0.500 0.500
Pd1 0.000 0.500 0.500
# DFT total energy   -6.187 eV/atom
# Calculated volume   95.8 Å³/cell
# Formation energy   -0.697 eV/atom

(3)
# PBE Y4P2Pd, relaxed
data_Y4P2Pd
_cell_length_a 5.123
_cell_length_b 5.123
_cell_length_c 14.830
_cell_angle_alpha 90.00
_cell_angle_beta 90.00
_cell_angle_gamma 90.00
_space_group_name_H-M_alt 'I 4/m m m'
_space_group_IT_number 139
_space_group_name_Hall '-I 4 2'
loop_
_atom_site_label
_atom_site_fract_x
_atom_site_fract_y
_atom_site_fract_z
Y1 0.000 0.000 0.193
Y2 0.000 0.500 0.000
P1 0.000 0.000 0.374
Pd1 0.000 0.000 0.000
# DFT total energy   -6.483 eV/atom
# Calculated volume   389.2 Å³/cell
# Formation energy   -0.502 eV/atom

(4)
# PBE YPPd3, relaxed
data_YPPd3
_cell_length_a 4.988
_cell_length_b 4.988
_cell_length_c 4.988
_cell_angle_alpha 90.00
_cell_angle_beta 90.00
_cell_angle_gamma 90.00
_space_group_name_H-M_alt 'P m -3 m'
_space_group_IT_number 221
_space_group_name_Hall '-P 4 2 3'
loop_
_atom_site_label
_atom_site_fract_x
_atom_site_fract_y
_atom_site_fract_z
Y1 0.000 0.000 0.000
P1 0.500 0.500 0.500
Pd1 0.000 0.000 0.500
# DFT total energy   -4.566 eV/atom
# Calculated volume   124.1 Å³/cell
# Formation energy   0.924 eV/atom

(5)
# PBE Y3P4Pd4, relaxed
data_Y3P4Pd4
_cell_length_a 4.066
_cell_length_b 6.986
_cell_length_c 13.543
_cell_angle_alpha 90.00
_cell_angle_beta 90.00
_cell_angle_gamma 90.00
_space_group_name_H-M_alt 'I m m m'
_space_group_IT_number 71
_space_group_name_Hall '-I 2 2'
loop_
_atom_site_label
_atom_site_fract_x
_atom_site_fract_y
_atom_site_fract_z
Y1 0.000 0.000 0.000
Y2 0.000 0.500 0.126
P1 0.000 0.000 0.217
P2 0.000 0.189 0.500
Pd1 0.000 0.301 0.330
# DFT total energy   -6.717 eV/atom
# Calculated volume   384.7 Å³/cell
# Formation energy   -1.099 eV/atom

(6)
# PBE YPPd, relaxed
data_YPPd
_cell_length_a 6.867
_cell_length_b 4.025
_cell_length_c 11.757
_cell_angle_alpha 90.00
_cell_angle_beta 90.52
_cell_angle_gamma 90.00
_space_group_name_H-M_alt 'P 1 21/m 1'
_space_group_IT_number 11
_space_group_name_Hall '-P 2yb'
loop_
_atom_site_label
_atom_site_fract_x
_atom_site_fract_y
_atom_site_fract_z
Y1 0.031 0.250 0.123
Y2 0.163 0.250 0.421
Y3 0.465 0.750 0.792
P1 0.240 0.750 0.250
P2 0.252 0.750 0.586
P3 0.254 0.250 0.918
Pd1 0.127 0.250 0.706
Pd2 0.353 0.750 0.042
Pd3 0.496 0.750 0.408
# DFT total energy   -6.949 eV/atom
# Calculated volume   325.0 Å³/cell
# Formation energy   -1.260 eV/atom